No. 1
RbGaAg after structural relaxation, computed with GGA-PBE.

Unit cell a=7.499 b=7.499 c=7.499 alpha=90.00 beta=90.00 gamma=90.00
Space group F-43m (No. 216)
One atom of each set of equivalent atoms:
Rb: 0.000 0.000 0.000 x4
Ga: 0.000 0.000 0.500 x4
Ag: 0.250 0.250 0.750 x4

Properties
**Uncorrected energy**: -1.9314 eV per atom
**Mass density**: 4.14 g/cm³


No. 2
Ba2ScPtS6 after structural relaxation, computed with GGA-PBE.

Unit cell a=9.796 b=9.796 c=9.796 alpha=90.00 beta=90.00 gamma=90.00
Space group Fm-3m (No. 225)
One atom of each set of equivalent atoms:
Ba: 0.250 0.250 0.250 x8
Sc: 0.000 0.000 0.000 x4
Pt: 0.000 0.000 0.500 x4
S: 0.000 0.000 0.257 x24

Properties
**Uncorrected energy**: -5.3303 eV per atom
**Total moment**: 0.0 μB/cell
**Mass density**: 5.00 g/cm³


No. 3
BaZnSO after structural relaxation, computed with GGA-PBE.

Unit cell a=6.745 b=7.053 c=8.309 alpha=90.00 beta=90.00 gamma=90.00
Space group P2_12_12_1 (No. 19)
One atom of each set of equivalent atoms:
Ba: 0.242 0.052 0.000 x4
Zn: 0.243 0.508 0.698 x4
S: 0.042 0.718 0.201 x4
O: 0.059 0.683 0.652 x4

Properties
**Uncorrected energy**: -4.6293 eV per atom
**Mass density**: 4.21 g/cm³